1.
# Cs2CdH2Cl6 | Alexandria | PBE | optimized geometry
# DOS(E_F) ... 0.000 states/eV per cell
# Magnetic moment ... 0.00 μB per cell
# Total energy ... -33.51 eV per formula unit
data_Cs2CdH2Cl6
_chemical_formula_sum 'Cs2 Cd1 H2 Cl6'
_cell_length_a 7.6308
_cell_length_b 7.1897
_cell_length_c 8.7820
_cell_angle_alpha 120.67
_cell_angle_beta 90.00
_cell_angle_gamma 122.05
_space_group_name_H-M_alt 'P 1'
_space_group_IT_number 1
_space_group_name_Hall 'P 1'
loop_
_atom_site_label
_atom_site_fract_x
_atom_site_fract_y
_atom_site_fract_z
Cs1 0.7510 0.5020 0.2515
Cs2 0.2490 0.4980 0.7485
Cd1 0.5000 0.0000 0.5000
H1 0.8818 0.7636 0.7666
H2 0.1182 0.2364 0.2334
Cl1 0.8060 0.6120 0.8261
Cl2 0.2820 0.0383 0.3084
Cl3 0.2437 0.9617 0.6916
Cl4 0.7180 0.9617 0.6916
Cl5 0.7563 0.0383 0.3084
Cl6 0.1940 0.3880 0.1739

---

2.
# Cs2HfCdCl | Alexandria | PBE | optimized geometry
# DOS(E_F) ... 12.171 states/eV per cell
# Magnetic moment ... 3.00 μB per cell
# Total energy ... -12.21 eV per formula unit
# Uncorrected formation energy ... 442 meV per atom
data_Cs2HfCdCl
_chemical_formula_sum 'Cs2 Hf1 Cd1 Cl1'
_cell_length_a 6.4160
_cell_length_b 6.3961
_cell_length_c 6.4160
_cell_angle_alpha 90.00
_cell_angle_beta 90.00
_cell_angle_gamma 90.00
_space_group_name_H-M_alt 'P 1'
_space_group_IT_number 1
_space_group_name_Hall 'P 1'
loop_
_atom_site_label
_atom_site_fract_x
_atom_site_fract_y
_atom_site_fract_z
Cs1 0.0000 0.0000 0.5000
Cs2 0.5000 0.0000 0.0000
Cl1 0.0000 0.0000 0.0000
Hf1 0.5000 0.5000 0.5000
Cd1 0.0000 0.5000 0.0000

---

3.
# Cs2HfCdCl6 | Alexandria | PBE | optimized geometry
# DOS(E_F) ... 0.000 states/eV per cell
# Magnetic moment ... 0.00 μB per cell
# Total energy ... -40.60 eV per formula unit
# Uncorrected formation energy ... -1694 meV per atom
data_Cs2HfCdCl6
_chemical_formula_sum 'Cs2 Hf1 Cd1 Cl6'
_cell_length_a 8.2414
_cell_length_b 8.2414
_cell_length_c 8.2429
_cell_angle_alpha 60.01
_cell_angle_beta 60.01
_cell_angle_gamma 90.00
_space_group_name_H-M_alt 'P 1'
_space_group_IT_number 1
_space_group_name_Hall 'P 1'
loop_
_atom_site_label
_atom_site_fract_x
_atom_site_fract_y
_atom_site_fract_z
Cs1 0.7500 0.2500 0.5000
Cs2 0.2500 0.7500 0.5000
Cl1 0.2113 0.2113 0.5774
Cl2 0.7887 0.7887 0.4226
Cl3 0.2114 0.2114 0.0000
Cl4 0.7886 0.7886 0.0000
Cl5 0.7886 0.2114 0.0000
Cl6 0.2114 0.7886 0.0000
Hf1 0.0000 0.0000 0.0000
Cd1 0.5000 0.5000 0.0000

---

4.
# CsCdHg2Cl8 | Alexandria | PBE | optimized geometry
# DOS(E_F) ... 17.810 states/eV per cell
# Magnetic moment ... 0.63 μB per cell
# Total energy ... -26.98 eV per formula unit
# Uncorrected formation energy ... -820 meV per atom
data_CsCdHg2Cl8
_chemical_formula_sum 'Cs1 Cd1 Hg2 Cl8'
_cell_length_a 6.6875
_cell_length_b 6.6875
_cell_length_c 9.6611
_cell_angle_alpha 90.00
_cell_angle_beta 90.00
_cell_angle_gamma 120.00
_space_group_name_H-M_alt 'P 1'
_space_group_IT_number 1
_space_group_name_Hall 'P 1'
loop_
_atom_site_label
_atom_site_fract_x
_atom_site_fract_y
_atom_site_fract_z
Cs1 0.0000 0.0000 0.0000
Cd1 0.0000 0.0000 0.5000
Hg1 0.6667 0.3333 0.2721
Hg2 0.3333 0.6667 0.7279
Cl1 0.3333 0.6667 0.9909
Cl2 0.2979 0.3307 0.3342
Cl3 0.6693 0.9672 0.3342
Cl4 0.6667 0.3333 0.0091
Cl5 0.3307 0.0328 0.6658
Cl6 0.7021 0.6693 0.6658
Cl7 0.9672 0.2979 0.6658
Cl8 0.0328 0.7021 0.3342

---

Question: Which of these has the lowest total energy?
Answer: Cs2HfCdCl6